No. 1
First-principles (PBE) data for a geometry-optimized KCu2SiF8 structure, as listed in Alexandria.

Structure (extended XYZ):
```
12
Lattice="4.888 0.000 0.000 -0.620 4.984 0.000 -1.830 -0.888 7.103" Properties=species:S:1:pos:R:3 pbc="T T T"
K 0.000 0.000 0.000
Cu 0.057 1.802 5.550
Cu 2.382 2.294 1.552
Si -0.915 -0.444 3.551
F -0.613 3.821 2.333
F -0.847 3.468 4.734
F 0.330 0.725 3.852
F 1.612 3.564 0.219
F 0.826 0.532 6.883
F 2.108 3.371 3.250
F 3.286 0.628 2.368
F 3.051 0.276 4.769
```

**Fermi-level density of states**: 0.215 states/eV per atom


No. 2
First-principles (PBE) data for a geometry-optimized KSmCuF6 structure, as listed in Alexandria.

Structure (extended XYZ):
```
18
Lattice="-3.761 3.770 5.079 3.761 -3.770 5.079 3.761 3.770 -5.079" Properties=species:S:1:pos:R:3 pbc="T T T"
K 0.000 1.885 1.694
K 3.761 1.885 3.385
Sm 1.881 1.885 -2.540
Sm 1.881 -1.885 2.540
Cu 3.761 0.000 0.000
Cu 0.000 0.000 5.079
F 3.761 -1.885 3.873
F 3.761 1.885 -1.173
F 2.337 0.173 1.346
F 5.185 0.173 1.346
F 2.337 3.942 -1.346
F 1.424 0.173 3.733
F 2.337 3.597 1.346
F 1.424 -0.173 6.425
F -1.424 3.597 3.733
F 1.424 3.597 3.733
F 0.000 1.885 6.252
F 0.000 5.654 1.206
```

**Fermi-level density of states**: 0.019 states/eV per atom


No. 3
First-principles (PBE) data for a geometry-optimized K2SmCuF6 structure, as listed in Alexandria.

Structure (extended XYZ):
```
20
Lattice="6.885 0.000 0.000 0.000 8.155 0.000 0.000 0.000 6.838" Properties=species:S:1:pos:R:3 pbc="T T T"
K 1.721 0.079 1.141
K 1.721 3.999 1.141
K 5.164 4.157 5.697
K 5.164 8.076 5.697
Sm 1.721 2.039 4.630
Sm 5.164 6.116 2.208
Cu 1.721 6.116 5.038
Cu 5.164 2.039 1.800
F 0.008 6.116 0.761
F 0.356 2.039 2.862
F 1.721 4.211 5.213
F 1.721 8.022 5.213
F 3.087 2.039 2.862
F 3.435 6.116 0.761
F 3.451 2.039 6.078
F 3.798 6.116 3.976
F 5.164 0.134 1.626
F 5.164 3.944 1.626
F 6.530 6.116 3.976
F 6.877 2.039 6.078
```


No. 4
First-principles (PBE) data for a geometry-optimized K2SmCu3F12 structure, as listed in Alexandria.

Structure (extended XYZ):
```
18
Lattice="3.792 2.189 5.299 -3.792 2.189 5.299 0.000 -4.379 5.299" Properties=species:S:1:pos:R:3 pbc="T T T"
K 0.000 0.000 1.805
K 0.000 0.000 14.093
Sm 0.000 0.000 7.949
Cu -1.896 -1.095 5.299
Cu -1.896 1.095 10.598
Cu 0.000 2.189 5.299
F -1.995 -1.152 7.224
F 0.000 -1.613 5.671
F -1.397 0.807 5.671
F 0.000 -2.303 8.674
F -1.995 1.152 8.674
F -1.397 -0.807 10.227
F 1.397 0.807 5.671
F 1.995 -1.152 7.224
F 0.000 2.304 7.224
F 1.397 -0.807 10.227
F 0.000 1.613 10.227
F 1.995 1.152 8.674
```

**Fermi-level density of states**: 0.132 states/eV per atom


No. 5
First-principles (PBE) data for a geometry-optimized KSmCu2F8 structure, as listed in Alexandria.

Structure (extended XYZ):
```
12
Lattice="-2.858 2.858 5.402 2.858 -2.858 5.402 2.858 2.858 -5.402" Properties=species:S:1:pos:R:3 pbc="T T T"
K 0.000 0.000 0.000
Sm 0.000 2.858 2.701
Cu 2.858 0.000 2.701
Cu 0.000 0.000 5.402
F 1.868 -1.561 3.199
F 4.419 -0.989 2.203
F 2.264 1.171 -0.698
F 1.297 0.989 2.203
F 1.686 -0.594 6.100
F 3.847 1.561 3.199
F 1.171 3.452 0.698
F 0.594 1.686 4.705
```


No. 6
First-principles (PBE) data for a geometry-optimized KCuSnF6 structure, as listed in Alexandria.

Structure (extended XYZ):
```
18
Lattice="5.755 0.000 0.000 -2.877 4.984 0.000 0.000 0.000 11.009" Properties=species:S:1:pos:R:3 pbc="T T T"
K 0.000 0.000 0.000
K 0.000 0.000 5.505
Cu 0.000 3.323 2.752
Cu 2.877 1.661 8.257
Sn 0.000 3.323 8.257
Sn 2.877 1.661 2.752
F -0.927 1.930 7.130
F -1.669 3.216 9.384
F 0.927 1.930 9.384
F -0.742 4.822 7.130
F 2.135 0.162 1.625
F 1.208 1.768 3.880
F 1.669 3.216 7.130
F 0.742 4.822 9.384
F 3.620 0.162 3.880
F 1.950 3.054 1.625
F 4.547 1.768 1.625
F 3.804 3.054 3.880
```

**Fermi-level density of states**: 0.625 states/eV per atom


No. 7
First-principles (PBE) data for a geometry-optimized KSrCuF6 structure, as listed in Alexandria.

Structure (extended XYZ):
```
18
Lattice="-3.865 3.943 4.847 3.865 -3.943 4.847 3.865 3.943 -4.847" Properties=species:S:1:pos:R:3 pbc="T T T"
K 0.000 1.971 0.857
K 3.865 1.971 3.990
Sr 3.865 0.000 0.000
Sr 0.000 0.000 4.847
Cu 1.932 1.971 -2.423
Cu 1.932 -1.971 2.423
F 1.634 -0.651 1.126
F 6.095 -0.651 1.126
F 3.865 1.971 -1.752
F 1.634 3.292 -1.126
F 2.231 -0.651 3.721
F 3.865 1.971 1.347
F 0.000 1.971 3.500
F 1.634 4.594 1.126
F 2.231 0.651 5.973
F 0.000 1.971 6.599
F -2.231 4.594 3.721
F 2.231 4.594 3.721
```

**Fermi-level density of states**: 0.279 states/eV per atom


No. 8
First-principles (PBE) data for a geometry-optimized K2SrCuF8 structure, as listed in Alexandria.

Structure (extended XYZ):
```
12
Lattice="5.664 0.000 0.000 -2.832 4.905 0.000 0.000 0.000 6.709" Properties=species:S:1:pos:R:3 pbc="T T T"
K 0.000 3.270 2.434
K 2.832 1.635 4.275
Sr 0.000 0.000 0.000
Cu 0.000 0.000 3.355
F 0.000 1.485 4.539
F -1.546 4.163 4.539
F 1.286 0.743 2.170
F 0.000 3.270 6.653
F 2.832 1.635 0.056
F 1.546 4.163 4.539
F 4.378 0.743 2.170
F 2.832 3.420 2.170
```

**Fermi-level density of states**: 0.824 states/eV per atom


No. 9
First-principles (PBE) data for a geometry-optimized K2SrCu3F12 structure, as listed in Alexandria.

Structure (extended XYZ):
```
18
Lattice="3.752 2.166 5.556 -3.752 2.166 5.556 0.000 -4.332 5.556" Properties=species:S:1:pos:R:3 pbc="T T T"
K 0.000 0.000 1.940
K 0.000 0.000 14.729
Sr 0.000 0.000 8.334
Cu -1.876 -1.083 5.556
Cu -1.876 1.083 11.112
Cu 0.000 2.166 5.556
F -2.055 -1.186 7.433
F 0.000 -1.633 5.854
F -1.415 0.817 5.854
F 0.000 -2.373 9.236
F -2.055 1.186 9.236
F -1.415 -0.817 10.814
F 1.415 0.817 5.854
F 2.055 -1.186 7.433
F 0.000 2.373 7.433
F 1.415 -0.817 10.814
F 0.000 1.633 10.814
F 2.055 1.186 9.236
```

**Fermi-level density of states**: 0.430 states/eV per atom


No. 10
First-principles (PBE) data for a geometry-optimized K3SrCu2F9 structure, as listed in Alexandria.

Structure (extended XYZ):
```
15
Lattice="5.968 0.000 0.000 -2.984 5.168 0.000 0.000 0.000 7.749" Properties=species:S:1:pos:R:3 pbc="T T T"
K 0.000 0.000 0.000
K 0.000 3.446 5.562
K 2.984 1.723 2.187
Sr 0.000 0.000 3.874
Cu 0.000 3.446 1.178
Cu 2.984 1.723 6.571
F -1.492 2.584 0.000
F 0.000 1.800 2.339
F -1.425 4.268 2.339
F 1.559 0.900 5.410
F 2.984 0.000 0.000
F 1.492 2.584 0.000
F 1.425 4.268 2.339
F 4.409 0.900 5.410
F 2.984 3.369 5.410
```

**Fermi-level density of states**: 0.148 states/eV per atom


No. 11
First-principles (PBE) data for a geometry-optimized KSrCu2F8 structure, as listed in Alexandria.

Structure (extended XYZ):
```
12
Lattice="-2.945 2.945 5.049 2.945 -2.945 5.049 2.945 2.945 -5.049" Properties=species:S:1:pos:R:3 pbc="T T T"
K 0.000 0.000 0.000
Sr 2.945 0.000 2.524
Cu 0.000 0.000 5.049
Cu 0.000 2.945 2.524
F 3.758 1.687 -2.696
F 2.661 1.165 0.187
F 1.780 -0.284 4.862
F -0.813 1.258 2.352
F 1.165 3.230 -0.187
F 1.687 2.133 2.696
F 0.284 1.780 5.236
F 1.258 0.813 7.745
```

**Fermi-level density of states**: 0.434 states/eV per atom


No. 12
First-principles (PBE) data for a geometry-optimized K4SrCu3F12 structure, as listed in Alexandria.

Structure (extended XYZ):
```
20
Lattice="-4.250 4.250 4.250 4.250 -4.250 4.250 4.250 4.250 -4.250" Properties=species:S:1:pos:R:3 pbc="T T T"
K 2.125 2.125 -2.125
K 2.125 -2.125 2.125
K -2.125 2.125 2.125
K 2.125 2.125 2.125
Sr 0.000 0.000 0.000
Cu 4.250 0.000 0.000
Cu 0.000 4.250 0.000
Cu 0.000 0.000 4.250
F 2.319 0.000 0.000
F 6.180 0.000 0.000
F 4.250 2.125 0.000
F 4.250 0.000 2.125
F 0.000 2.319 0.000
F 0.000 0.000 2.319
F 2.125 4.250 0.000
F 2.125 0.000 4.250
F 0.000 6.180 0.000
F 0.000 0.000 6.180
F 0.000 4.250 2.125
F 0.000 2.125 4.250
```

**Fermi-level density of states**: 0.196 states/eV per atom


no.,total DFT energy (no corrections) (eV per atom)
1,-4.799
2,-5.272
3,-5.101
4,-4.682
5,-4.978
6,-4.534
7,-4.593
8,-4.216
9,-4.347
10,-4.508
11,-4.451
12,-4.436